This record from Alexandria describes a relaxed RbLaMnO3 crystal. The functional is GGA+U.

Results
volume = 257.1 Å³/cell
M_tot = 5.00 μB/f.u.
calculated total energy = -6.904 eV/atom

a b c (Å): 8.0218 3.8003 8.6089
angles (deg): 90.00 101.64 90.00
Space group P2_1/m (No. 11)
Unique sites:
Rb1 0.1762 0.2500 0.1942 x2
La1 0.3524 0.7500 0.8501 x2
Mn1 0.0933 0.2500 0.6072 x2
O1 0.1572 0.2500 0.8479 x2
O2 0.1566 0.7500 0.5410 x2
O3 0.4501 0.7500 0.1233 x2